[1]
This record from Alexandria via LeMat-Bulk describes crystalline Be3CoTc at its relaxed geometry. The functional is PBE.

The energy above the most stable polymorph in this dataset comes out at 0.00 eV per formula unit. As for the space-group type: Pm-3m (221).

a = 3.801 Å, b = 3.801 Å, c = 3.801 Å
α = 90.00°, β = 90.00°, γ = 90.00°
Sites, in units of the cell vectors:
Be  0.000  0.000  0.500
Be  0.000  0.500  0.000
Be  0.500  0.000  0.000
Co  0.000  0.000  0.000
Tc  0.500  0.500  0.500

=====

[2]
This record from Alexandria via LeMat-Bulk describes crystalline BeCoTc at its relaxed geometry. The functional is PBE.

The energy above the most stable polymorph in this dataset comes out at 0.45 eV per formula unit. As for the space-group type: P-6m2 (187).

a = 3.858 Å, b = 3.858 Å, c = 2.566 Å
α = 90.00°, β = 90.00°, γ = 120.00°
Sites, in units of the cell vectors:
Be  0.000  0.000  0.000
Co  0.667  0.333  0.000
Tc  0.333  0.667  0.500

=====

[3]
This record from Alexandria via LeMat-Bulk describes crystalline Be3CoTc at its relaxed geometry. The functional is PBE.

The energy above the most stable polymorph in this dataset comes out at 3.25 eV per formula unit. As for the space-group type: Pm-3m (221).

a = 4.089 Å, b = 4.089 Å, c = 4.089 Å
α = 90.00°, β = 90.00°, γ = 90.00°
Sites, in units of the cell vectors:
Be  0.000  0.000  0.500
Be  0.000  0.500  0.000
Be  0.500  0.000  0.000
Co  0.500  0.500  0.500
Tc  0.000  0.000  0.000

=====

[4]
This record from Alexandria via LeMat-Bulk describes crystalline Be2CoTc at its relaxed geometry. The functional is PBE.

The energy above the most stable polymorph in this dataset comes out at 0.30 eV per formula unit. As for the space-group type: Amm2 (38).

a = 3.624 Å, b = 4.520 Å, c = 4.520 Å
α = 33.40°, β = 90.00°, γ = 90.00°
Sites, in units of the cell vectors:
Be  0.000  0.000  0.000
Be  0.500  0.131  0.131
Co  0.000  0.722  0.722
Tc  0.500  0.394  0.394

=====

[5]
This record from Alexandria via LeMat-Bulk describes crystalline BeCoTc at its relaxed geometry. The functional is PBE.

The energy above the most stable polymorph in this dataset comes out at 0.27 eV per formula unit. As for the space-group type: Pnma (62).

a = 5.876 Å, b = 3.242 Å, c = 6.697 Å
α = 90.00°, β = 90.00°, γ = 90.00°
Sites, in units of the cell vectors:
Be  0.230  0.250  0.132
Be  0.270  0.750  0.632
Be  0.730  0.250  0.368
Be  0.770  0.750  0.868
Co  0.144  0.750  0.941
Co  0.356  0.250  0.441
Co  0.644  0.750  0.559
Co  0.856  0.250  0.059
Tc  0.029  0.750  0.332
Tc  0.471  0.250  0.832
Tc  0.529  0.750  0.168
Tc  0.971  0.250  0.668

=====

[6]
This record from Alexandria via LeMat-Bulk describes crystalline BeTlCo2Tc at its relaxed geometry. The functional is PBE.

As for the space-group type: P4/mmm (123).

a = 4.014 Å, b = 4.014 Å, c = 4.417 Å
α = 90.00°, β = 90.00°, γ = 90.00°
Sites, in units of the cell vectors:
Be  0.000  0.000  0.000
Tl  0.000  0.000  0.500
Co  0.000  0.500  0.000
Co  0.500  0.000  0.000
Tc  0.500  0.500  0.500

=====

What ΔH_f (0 K) values result from the calculations? In sequence: 0.53 -0.09 1.18 -0.11 -0.15 0.96 eV/atom.
What total magnetic moment values result from the calculations? In sequence: 0.361 0.000 0.370 0.159 0.000 0.723 μB/atom.